This record from Alexandria via LeMat-Bulk describes NaInI2Br after structural relaxation. The functional is PBE-GGA.

Results
volume = 210 Å³/cell
total energy = -2.47 eV/atom
energy relative to the elements, uncorrected = -0.708 eV/atom

```
data_NaInI2Br
_chemical_formula_sum 'Na1 In1 I2 Br1'
_space_group_name_H-M_alt 'P 4/m m m'
_space_group_IT_number 123
_space_group_name_Hall '-P 4 2'
_cell_length_a 6.109
_cell_length_b 6.109
_cell_length_c 5.629
_cell_angle_alpha 90.00
_cell_angle_beta 90.00
_cell_angle_gamma 90.00
loop_
_atom_site_label
_atom_site_fract_x
_atom_site_fract_y
_atom_site_fract_z
Na1 0.000 0.000 0.000
In1 0.500 0.500 0.500
I1 0.000 0.500 0.500
Br1 0.500 0.500 0.000
```